No. 1
First-principles (GGA-PBEsol) data for a relaxed AlRu2Br crystal, as listed in the Alexandria database.

relative energy among the computed polymorphs	0.86	eV/f.u.
calculated volume	15.4	Å³/atom

a = 2.9787 Å, b = 2.9787 Å, c = 8.2184 Å
α = 79.56°, β = 79.56°, γ = 60.00°
Positions (direct):
Ru (0.9946, 0.9946, 0.0163)
Ru (0.2480, 0.2480, 0.2560)
Al (0.5043, 0.5043, 0.4870)
Br (0.7531, 0.7531, 0.7408)

No. 2
First-principles (GGA-PBEsol) data for a relaxed AlRuBr crystal, as listed in the Alexandria database.

calculated volume	18.3	Å³/atom

a = 4.2624 Å, b = 4.2624 Å, c = 4.2624 Å
α = 60.00°, β = 60.00°, γ = 60.00°
Positions (direct):
Ru (0.0000, 0.0000, 0.0000)
Al (0.5000, 0.5000, 0.5000)
Br (0.2500, 0.2500, 0.2500)

No. 3
First-principles (GGA-PBEsol) data for a relaxed AlRu2Br crystal, as listed in the Alexandria database.

relative energy among the computed polymorphs	0.38	eV/f.u.
calculated volume	15.7	Å³/atom

a = 2.9747 Å, b = 3.0154 Å, c = 7.0114 Å
α = 90.00°, β = 90.00°, γ = 90.00°
Positions (direct):
Ru (0.0000, 0.5000, 0.7979)
Ru (0.0000, 0.5000, 0.2021)
Al (0.5000, 0.0000, 0.0000)
Br (0.5000, 0.5000, 0.5000)

No. 4
First-principles (GGA-PBEsol) data for a relaxed AlRu2Br crystal, as listed in the Alexandria database.

relative energy among the computed polymorphs	0.95	eV/f.u.
calculated volume	14.7	Å³/atom

a = 2.9457 Å, b = 4.2696 Å, c = 5.0329 Å
α = 111.92°, β = 90.00°, γ = 90.00°
Positions (direct):
Ru (0.0000, 0.0000, 0.0000)
Ru (0.5000, 0.0000, 0.5000)
Al (0.5000, 0.5000, 0.0000)
Br (0.0000, 0.5000, 0.5000)

No. 5
First-principles (GGA-PBEsol) data for a relaxed AlRu2Br crystal, as listed in the Alexandria database.

relative energy among the computed polymorphs	0.90	eV/f.u.
calculated volume	14.8	Å³/atom

a = 2.9137 Å, b = 4.4344 Å, c = 4.9525 Å
α = 101.69°, β = 90.00°, γ = 109.18°
Positions (direct):
Ru (0.7614, 0.5229, 0.7647)
Ru (0.2386, 0.4771, 0.2353)
Al (0.5000, 0.0000, 0.0000)
Br (0.0000, 0.0000, 0.5000)

No. 6
First-principles (GGA-PBEsol) data for a relaxed AlS2Br crystal, as listed in the Alexandria database.

calculated volume	17.2	Å³/atom

a = 4.5965 Å, b = 4.5965 Å, c = 4.5965 Å
α = 60.00°, β = 60.00°, γ = 60.00°
Positions (direct):
S (0.2500, 0.2500, 0.2500)
S (0.7500, 0.7500, 0.7500)
Al (0.0000, 0.0000, 0.0000)
Br (0.5000, 0.5000, 0.5000)

No. 7
First-principles (GGA-PBEsol) data for a relaxed AlSbBr crystal, as listed in the Alexandria database.

calculated volume	27.9	Å³/atom

a = 4.9125 Å, b = 4.9125 Å, c = 4.9125 Å
α = 60.00°, β = 60.00°, γ = 60.00°
Positions (direct):
Sb (0.2500, 0.2500, 0.2500)
Al (0.0000, 0.0000, 0.0000)
Br (0.5000, 0.5000, 0.5000)

No. 8
First-principles (GGA-PBEsol) data for a relaxed AlSbTe2Br crystal, as listed in the Alexandria database.

calculated volume	33.0	Å³/atom

a = 5.4885 Å, b = 5.4817 Å, c = 5.4817 Å
α = 90.00°, β = 90.00°, γ = 90.00°
Positions (direct):
Sb (0.5000, 0.0000, 0.0000)
Te (0.0000, 0.0000, 0.5000)
Te (0.0000, 0.5000, 0.0000)
Al (0.5000, 0.5000, 0.5000)
Br (0.0000, 0.0000, 0.0000)

No. 9
First-principles (GGA-PBEsol) data for a relaxed Sc2AlBr crystal, as listed in the Alexandria database.

relative energy among the computed polymorphs	0.30	eV/f.u.
calculated volume	20.0	Å³/atom

a = 3.2050 Å, b = 3.2050 Å, c = 7.8022 Å
α = 90.00°, β = 90.00°, γ = 90.00°
Last column: magnetic moment on the atom in μB.
Positions (direct):
Sc (0.0000, 0.0000, 0.7634)  0.08
Sc (0.0000, 0.0000, 0.2366)  0.08
Al (0.5000, 0.5000, 0.0000)  0.00
Br (0.5000, 0.5000, 0.5000)  0.00

No. 10
First-principles (GGA-PBEsol) data for a relaxed Sc2AlBr crystal, as listed in the Alexandria database.

relative energy among the computed polymorphs	0.22	eV/f.u.
calculated volume	20.7	Å³/atom

a = 3.4382 Å, b = 3.4382 Å, c = 8.3346 Å
α = 78.10°, β = 78.10°, γ = 60.00°
Positions (direct):
Sc (0.2517, 0.2517, 0.2449)
Sc (0.7483, 0.7483, 0.7551)
Al (0.0000, 0.0000, 0.0000)
Br (0.5000, 0.5000, 0.5000)

No. 11
First-principles (GGA-PBEsol) data for a relaxed Sc2AlBr crystal, as listed in the Alexandria database.

relative energy among the computed polymorphs	0.00	eV/f.u.
calculated volume	21.7	Å³/atom

a = 3.2672 Å, b = 3.3703 Å, c = 7.8933 Å
α = 90.03°, β = 90.00°, γ = 90.00°
Positions (direct):
Sc (0.0000, 0.5001, 0.7165)
Sc (0.0000, 0.4999, 0.2835)
Al (0.5000, 0.0000, 0.5000)
Br (0.5000, 0.5000, 0.0000)

No. 12
First-principles (GGA-PBEsol) data for a relaxed ScAlBr crystal, as listed in the Alexandria database.

calculated volume	22.6	Å³/atom

a = 4.5776 Å, b = 4.5776 Å, c = 4.5776 Å
α = 60.00°, β = 60.00°, γ = 60.00°
Positions (direct):
Sc (0.0000, 0.0000, 0.0000)
Al (0.5000, 0.5000, 0.5000)
Br (0.2500, 0.2500, 0.2500)

No. 13
First-principles (GGA-PBEsol) data for a relaxed ScAlBr2 crystal, as listed in the Alexandria database.

relative energy among the computed polymorphs	0.66	eV/f.u.
calculated volume	28.6	Å³/atom

a = 8.7897 Å, b = 6.8861 Å, c = 8.7897 Å
α = 50.34°, β = 90.00°, γ = 129.66°
Positions (direct):
Sc (0.7500, 0.5000, 0.7500)
Sc (0.0000, 0.0000, 0.0000)
Al (0.2500, 0.5000, 0.2500)
Al (0.5000, 0.0000, 0.5000)
Br (0.7383, 0.7500, 0.3750)
Br (0.0116, 0.7500, 0.8750)
Br (0.8750, 0.2500, 0.7383)
Br (0.3750, 0.2500, 0.0116)

No. 14
First-principles (GGA-PBEsol) data for a relaxed ScAlBr2 crystal, as listed in the Alexandria database.

relative energy among the computed polymorphs	0.00	eV/f.u.
calculated volume	27.8	Å³/atom

a = 3.4149 Å, b = 4.8556 Å, c = 7.3288 Å
α = 109.35°, β = 103.47°, γ = 90.00°
Positions (direct):
Sc (0.0000, 0.5000, 0.0000)
Al (0.5000, 0.0000, 0.0000)
Br (0.6563, 0.6563, 0.3127)
Br (0.3437, 0.3437, 0.6873)

No. 15
First-principles (GGA-PBEsol) data for a relaxed ScAlBr2 crystal, as listed in the Alexandria database.

relative energy among the computed polymorphs	2.47	eV/f.u.
calculated volume	23.2	Å³/atom

a = 5.0830 Å, b = 5.0830 Å, c = 5.0830 Å
α = 60.00°, β = 60.00°, γ = 60.00°
Last column: magnetic moment on the atom in μB.
Positions (direct):
Sc (0.2500, 0.2500, 0.2500)  0.77
Al (0.5000, 0.5000, 0.5000)  0.10
Br (0.0000, 0.0000, 0.0000)  0.01
Br (0.7500, 0.7500, 0.7500)  0.02

No. 16
First-principles (GGA-PBEsol) data for a relaxed Al2SeBr crystal, as listed in the Alexandria database.

relative energy among the computed polymorphs	0.49	eV/f.u.
calculated volume	22.2	Å³/atom

a = 3.6759 Å, b = 3.5570 Å, c = 7.9171 Å
α = 90.00°, β = 90.00°, γ = 121.11°
Positions (direct):
Br (0.5000, 0.0000, 0.5000)
Se (0.5000, 0.0000, 0.0000)
Al (0.0000, 0.0000, 0.7724)
Al (0.0000, 0.0000, 0.2276)

No. 17
First-principles (GGA-PBEsol) data for a relaxed Al2SeBr crystal, as listed in the Alexandria database.

relative energy among the computed polymorphs	0.66	eV/f.u.
calculated volume	22.8	Å³/atom

a = 3.8569 Å, b = 3.8569 Å, c = 6.7104 Å
α = 106.70°, β = 106.70°, γ = 90.00°
Positions (direct):
Br (0.5000, 0.5000, 0.0000)
Se (0.2500, 0.7500, 0.5000)
Al (0.0000, 0.0000, 0.0000)
Al (0.7500, 0.2500, 0.5000)

No. 18
First-principles (GGA-PBEsol) data for a relaxed Al2SeBr crystal, as listed in the Alexandria database.

relative energy among the computed polymorphs	0.00	eV/f.u.
calculated volume	22.3	Å³/atom

a = 3.4378 Å, b = 5.5697 Å, c = 5.5697 Å
α = 64.04°, β = 72.02°, γ = 72.02°
Positions (direct):
Br (0.4713, 0.5287, 0.5287)
Se (0.2949, 0.2051, 0.2051)
Al (0.9912, 0.0088, 0.0088)
Al (0.7426, 0.7574, 0.7574)

No. 19
First-principles (GGA-PBEsol) data for a relaxed AlSeBr2 crystal, as listed in the Alexandria database.

calculated volume	21.6	Å³/atom

a = 4.9613 Å, b = 4.9613 Å, c = 4.9613 Å
α = 60.00°, β = 60.00°, γ = 60.00°
Positions (direct):
Se (0.5000, 0.5000, 0.5000)
Br (0.2500, 0.2500, 0.2500)
Br (0.7500, 0.7500, 0.7500)
Al (0.0000, 0.0000, 0.0000)

No. 20
First-principles (GGA-PBEsol) data for a relaxed AlSeBr7 crystal, as listed in the Alexandria database.

calculated volume	34.2	Å³/atom

a = 6.6235 Å, b = 7.2448 Å, c = 13.5510 Å
α = 71.43°, β = 90.00°, γ = 90.00°
Positions (direct):
Al (0.0014, 0.1650, 0.1573)
Al (0.9986, 0.6650, 0.6573)
Br (0.6180, 0.1595, 0.8793)
Br (0.3820, 0.6595, 0.3793)
Br (0.5675, 0.6786, 0.0719)
Br (0.4325, 0.1786, 0.5719)
Br (0.1577, 0.8899, 0.9032)
Br (0.8423, 0.3899, 0.4032)
Br (0.0884, 0.8382, 0.1903)
Br (0.9116, 0.3382, 0.6903)
Br (0.1384, 0.3303, 0.9953)
Br (0.8616, 0.8303, 0.4953)
Br (0.6559, 0.1965, 0.1611)
Br (0.3441, 0.6965, 0.6611)
Br (0.1542, 0.2774, 0.2809)
Br (0.8458, 0.7774, 0.7809)
Se (0.3964, 0.9794, 0.0107)
Se (0.6036, 0.4794, 0.5107)

No. 21
First-principles (GGA-PBEsol) data for a relaxed AlSiSeBr2 crystal, as listed in the Alexandria database.

calculated volume	23.9	Å³/atom

a = 4.8924 Å, b = 4.8924 Å, c = 4.9881 Å
α = 90.00°, β = 90.00°, γ = 90.00°
Positions (direct):
Si (0.5000, 0.5000, 0.5000)
Se (0.0000, 0.0000, 0.5000)
Br (0.0000, 0.5000, 0.0000)
Br (0.5000, 0.0000, 0.0000)
Al (0.0000, 0.0000, 0.0000)

No. 22
First-principles (GGA-PBEsol) data for a relaxed AlSnSe2Br crystal, as listed in the Alexandria database.

calculated volume	29.6	Å³/atom

a = 5.2038 Å, b = 5.2038 Å, c = 5.4633 Å
α = 90.00°, β = 90.00°, γ = 90.00°
Positions (direct):
Se (0.0000, 0.5000, 0.0000)
Se (0.5000, 0.0000, 0.0000)
Sn (0.0000, 0.0000, 0.0000)
Br (0.0000, 0.0000, 0.5000)
Al (0.5000, 0.5000, 0.5000)

No. 23
First-principles (GGA-PBEsol) data for a relaxed SrAlSe2Br crystal, as listed in the Alexandria database.

calculated volume	25.0	Å³/atom

a = 4.9719 Å, b = 4.9719 Å, c = 5.0510 Å
α = 90.00°, β = 90.00°, γ = 90.00°
Positions (direct):
Sr (0.5000, 0.5000, 0.5000)
Se (0.0000, 0.5000, 0.0000)
Se (0.5000, 0.0000, 0.0000)
Br (0.0000, 0.0000, 0.5000)
Al (0.0000, 0.0000, 0.0000)

No. 24
First-principles (GGA-PBEsol) data for a relaxed TaAlSeBr2 crystal, as listed in the Alexandria database.

calculated volume	26.1	Å³/atom

a = 4.9639 Å, b = 5.1283 Å, c = 5.1283 Å
α = 90.00°, β = 90.00°, γ = 90.00°
Positions (direct):
Al (0.5000, 0.5000, 0.5000)
Se (0.5000, 0.0000, 0.0000)
Br (0.0000, 0.0000, 0.5000)
Br (0.0000, 0.5000, 0.0000)
Ta (0.0000, 0.0000, 0.0000)

No. 25
First-principles (GGA-PBEsol) data for a relaxed AlTlSeBr2 crystal, as listed in the Alexandria database.

calculated volume	32.3	Å³/atom

a = 5.2796 Å, b = 5.5343 Å, c = 5.5343 Å
α = 90.00°, β = 90.00°, γ = 90.00°
Positions (direct):
Tl (0.0000, 0.0000, 0.0000)
Se (0.5000, 0.0000, 0.0000)
Br (0.0000, 0.0000, 0.5000)
Br (0.0000, 0.5000, 0.0000)
Al (0.5000, 0.5000, 0.5000)

No. 26
First-principles (GGA-PBEsol) data for a relaxed AlSiBr crystal, as listed in the Alexandria database.

relative energy among the computed polymorphs	0.00	eV/f.u.
calculated volume	21.2	Å³/atom

a = 3.2654 Å, b = 3.2654 Å, c = 6.8822 Å
α = 90.00°, β = 90.00°, γ = 120.00°
Positions (direct):
Si (0.6667, 0.3333, 0.2657)
Al (0.0000, 0.0000, 0.9965)
Br (0.3333, 0.6667, 0.7378)

No. 27
First-principles (GGA-PBEsol) data for a relaxed AlSiBr crystal, as listed in the Alexandria database.

relative energy among the computed polymorphs	0.09	eV/f.u.
calculated volume	23.6	Å³/atom

a = 3.4567 Å, b = 3.8472 Å, c = 5.9221 Å
α = 108.95°, β = 106.97°, γ = 90.00°
Positions (direct):
Si (0.4324, 0.4324, 0.8648)
Al (0.9038, 0.9038, 0.8077)
Br (0.6638, 0.6638, 0.3276)

No. 28
First-principles (GGA-PBEsol) data for a relaxed AlSi2Br crystal, as listed in the Alexandria database.

calculated volume	18.0	Å³/atom

a = 3.1271 Å, b = 3.1271 Å, c = 7.3842 Å
α = 90.00°, β = 90.00°, γ = 95.64°
Positions (direct):
Si (0.0000, 0.0000, 0.2807)
Si (0.0000, 0.0000, 0.7193)
Al (0.5000, 0.5000, 0.5000)
Br (0.5000, 0.5000, 0.0000)

No. 29
First-principles (GGA-PBEsol) data for a relaxed AlSiBr crystal, as listed in the Alexandria database.

relative energy among the computed polymorphs	0.53	eV/f.u.
calculated volume	21.2	Å³/atom

a = 3.2697 Å, b = 3.2540 Å, c = 7.1070 Å
α = 83.36°, β = 76.70°, γ = 59.84°
Positions (direct):
Si (0.3592, 0.0000, 0.2815)
Al (0.0016, 0.0000, 0.9969)
Br (0.6392, 0.0000, 0.7216)

Results for energy relative to the elements, uncorrected: 303; 1091; 182; 326; 313; 355; 227; 877; -576; -594; -650; 104; -538; -703; -87; -76; -34; -199; 296; -567; 72; 126; -1147; -31; 90; 39; 70; 380; 215 (in meV/atom, following the order of the records).